1.
The following is a DFT calculation (GGA-PBE) of an optimized crystal structure of Sc2InCl6.

For the magnetic moment, the calculation gives 1.05 μB/f.u. The value obtained for the density is 2.6 g/cm3. The formation energy (no corrections) comes out at -1767 meV per atom.

CIF file:
```
data_Sc2InCl6
_chemical_formula_sum 'Sc2 In1 Cl6'
_symmetry_space_group_name_H-M 'P -3 1 m'
_symmetry_Int_Tables_number 162
_symmetry_space_group_name_Hall '-P 3 2'
_cell_length_a 6.5261
_cell_length_b 6.5261
_cell_length_c 7.3355
_cell_angle_alpha 90.00
_cell_angle_beta 90.00
_cell_angle_gamma 120.00
loop_
_atom_site_label
_atom_site_type_symbol
_atom_site_fract_x
_atom_site_fract_y
_atom_site_fract_z
_atom_site_occupancy
Sc1 Sc 0.3333 0.6667 0.0000 1
In1 In 0.0000 0.0000 0.5000 1
Cl1 Cl 0.0000 0.3630 0.2008 1
```



2.
The following is a DFT calculation (GGA-PBE) of an optimized crystal structure of Cs2K2Pb.

For the magnetic moment, the calculation gives 0.00 μB/f.u. For the formation energy, the calculation gives 0.04 eV per atom. The value obtained for the density is 2.8 g/cm3.

CIF file:
```
data_Cs2K2Pb
_chemical_formula_sum 'Cs4 K4 Pb2'
_symmetry_space_group_name_H-M 'P 4/m b m'
_symmetry_Int_Tables_number 127
_symmetry_space_group_name_Hall '-P 4 2ab'
_cell_length_a 9.4390
_cell_length_b 9.4390
_cell_length_c 7.2774
_cell_angle_alpha 90.00
_cell_angle_beta 90.00
_cell_angle_gamma 90.00
loop_
_atom_site_label
_atom_site_type_symbol
_atom_site_fract_x
_atom_site_fract_y
_atom_site_fract_z
_atom_site_occupancy
Cs1 Cs 0.1962 0.3038 0.0000 1
K1 K 0.1569 0.6569 0.5000 1
Pb1 Pb 0.0000 0.0000 0.5000 1
```



3.
The following is a DFT calculation (GGA-PBE) of an optimized crystal structure of PrTh2Pa.

For the magnetic moment, the calculation gives 0.00 μB/f.u. For the formation energy, the calculation gives 0.28 eV per atom. The value obtained for the density is 11.0 g/cm3.

CIF file:
```
data_PrTh2Pa
_chemical_formula_sum 'Pr3 Th6 Pa3'
_symmetry_space_group_name_H-M 'R -3 m'
_symmetry_Int_Tables_number 166
_symmetry_space_group_name_Hall '-R 3 2"'
_cell_length_a 3.4289
_cell_length_b 3.4289
_cell_length_c 37.1859
_cell_angle_alpha 90.00
_cell_angle_beta 90.00
_cell_angle_gamma 120.00
loop_
_atom_site_label
_atom_site_type_symbol
_atom_site_fract_x
_atom_site_fract_y
_atom_site_fract_z
_atom_site_occupancy
Pr1 Pr 0.0000 0.0000 0.0000 1
Th1 Th 0.0000 0.0000 0.0899 1
Pa1 Pa 0.0000 0.0000 0.5000 1
```



4.
The following is a DFT calculation (GGA-PBE) of an optimized crystal structure of DyErSn.

For the magnetic moment, the calculation gives 0.00 μB/f.u. For the formation energy, the calculation gives -0.43 eV per atom. The value obtained for the density is 8.8 g/cm3.

CIF file:
```
data_DyErSn
_chemical_formula_sum 'Dy2 Er2 Sn2'
_symmetry_space_group_name_H-M 'I 4 m m'
_symmetry_Int_Tables_number 107
_symmetry_space_group_name_Hall 'I 4 -2'
_cell_length_a 3.5311
_cell_length_b 3.5311
_cell_length_c 13.6003
_cell_angle_alpha 90.00
_cell_angle_beta 90.00
_cell_angle_gamma 90.00
loop_
_atom_site_label
_atom_site_type_symbol
_atom_site_fract_x
_atom_site_fract_y
_atom_site_fract_z
_atom_site_occupancy
Dy1 Dy 0.0000 0.0000 0.0000 1
Er1 Er 0.0000 0.0000 0.6887 1
Sn1 Sn 0.0000 0.0000 0.3433 1
```



Please write out number 2 again, unchanged.
The following is a DFT calculation (GGA-PBE) of an optimized crystal structure of Cs2K2Pb.

For the magnetic moment, the calculation gives 0.00 μB/f.u. For the formation energy, the calculation gives 0.04 eV per atom. The value obtained for the density is 2.8 g/cm3.

CIF file:
```
data_Cs2K2Pb
_chemical_formula_sum 'Cs4 K4 Pb2'
_symmetry_space_group_name_H-M 'P 4/m b m'
_symmetry_Int_Tables_number 127
_symmetry_space_group_name_Hall '-P 4 2ab'
_cell_length_a 9.4390
_cell_length_b 9.4390
_cell_length_c 7.2774
_cell_angle_alpha 90.00
_cell_angle_beta 90.00
_cell_angle_gamma 90.00
loop_
_atom_site_label
_atom_site_type_symbol
_atom_site_fract_x
_atom_site_fract_y
_atom_site_fract_z
_atom_site_occupancy
Cs1 Cs 0.1962 0.3038 0.0000 1
K1 K 0.1569 0.6569 0.5000 1
Pb1 Pb 0.0000 0.0000 0.5000 1
```